Here is an optimized crystal structure of Ba3CoSb2O9 from Alexandria via LeMat-Bulk. Energies are from GGA+U.

Cell lengths 5.8505, 5.8505, 7.2042 Å; angles 90.00, 90.00, 120.00 degrees
Last column: nearest neighbours and their distance in Å.
Space group P-3m1 (No. 164)
One atom of each set of equivalent atoms:
Ba 0.0000 0.0000 0.0000  12 O 2.90-2.93
Ba 0.3333 0.6667 0.6566  12 O 2.91-3.00
Co 0.0000 0.0000 0.5000  6 O 2.14
Sb 0.3333 0.6667 0.1730  6 O 1.98-2.10
O 0.0000 0.5000 0.0000  2 Sb 2.10
O 0.1703 0.3406 0.3234  1 Sb 1.98, 1 Co 2.14

Output
Total magnetic moment = 0.202 μB per atom
Final energy = -6.264 eV/atom